This record from Alexandria via LeMat-Bulk describes crystalline TbPrSmTm at its relaxed geometry. The functional is GGA-PBE.

Output
Magnetic moment: 0.00 μB/atom
Volume: 33.16 Å³/atom
Uncorrected energy: -4.54 eV per atom
Symmetry: Cm (8)
E_form: 0.1132 eV/atom
DOS at the Fermi energy: 7.44 states/eV/cell

a b c (Å): 3.7531 5.9076 6.9411
angles (deg): 115.19 73.96 90.00
Last column: nearest neighbours and their distance in Å.
Sites, in units of the cell vectors:
Tb1 0.1898 0.8821 0.7643  2 Tm 3.35-3.44, 4 Pr 3.48-3.53, 2 Sm 3.51-3.61
Pr1 0.6827 0.4018 0.8036  2 Tm 3.42-3.52, 4 Tb 3.48-3.53, 2 Sm 3.61-3.81, 2 Pr 3.75
Sm1 0.4042 0.1349 0.2697  4 Tm 3.47-3.53, 2 Tb 3.51-3.61, 2 Pr 3.61-3.81, 2 Sm 3.75
Tm1 0.9092 0.6458 0.2917  2 Tb 3.35-3.44, 2 Pr 3.42-3.52, 4 Sm 3.47-3.53

This record from Alexandria via LeMat-Bulk describes crystalline LiPd6Pt5 at its relaxed geometry. The functional is GGA-PBE.

Output
Magnetic moment: 0.00 μB/atom
Volume: 15.18 Å³/atom
Uncorrected energy: -5.40 eV per atom
Symmetry: Cmmm (65)
E_form: -0.1223 eV/atom
DOS at the Fermi energy: 20.39 states/eV/cell

a b c (Å): 3.9601 6.2315 7.7832
angles (deg): 90.00 90.00 108.51
Last column: nearest neighbours and their distance in Å.
Sites, in units of the cell vectors:
Pt1 0.6641 0.3289 0.5000  4 Pt 2.77-2.83, 8 Pd 2.80-2.83
Pt2 0.3364 0.6728 0.0000  8 Pd 2.70-2.77, 2 Li 2.77, 2 Pt 2.84-2.85
Pt3 0.0000 0.0000 0.5000  4 Pt 2.77-2.78, 8 Pd 2.79-2.82
Pt4 0.6636 0.3272 0.0000  8 Pd 2.70-2.77, 2 Li 2.77, 2 Pt 2.84-2.85
Pt5 0.3359 0.6711 0.5000  4 Pt 2.77-2.83, 8 Pd 2.80-2.83
Pd1 0.8343 0.6686 0.7560  1 Li 2.73, 7 Pt 2.74-2.83, 4 Pd 2.78-2.81
Pd2 0.8343 0.6686 0.2440  1 Li 2.73, 7 Pt 2.74-2.83, 4 Pd 2.78-2.81
Pd3 0.5000 0.0000 0.2419  6 Pt 2.70-2.82, 2 Li 2.73, 4 Pd 2.78-2.79
Pd4 0.5000 0.0000 0.7581  6 Pt 2.70-2.82, 2 Li 2.73, 4 Pd 2.78-2.79
Pd5 0.1657 0.3314 0.7560  1 Li 2.73, 7 Pt 2.74-2.83, 4 Pd 2.78-2.81
Pd6 0.1657 0.3314 0.2440  1 Li 2.73, 7 Pt 2.74-2.83, 4 Pd 2.78-2.81
Li1 0.0000 0.0000 0.0000  8 Pd 2.73, 4 Pt 2.77

This record from Alexandria via LeMat-Bulk describes crystalline Ho4Tm5Zr2 at its relaxed geometry. The functional is GGA-PBE.

Output
Magnetic moment: 0.00 μB/atom
Volume: 30.33 Å³/atom
Uncorrected energy: -4.96 eV per atom
Symmetry: Immm (71)
E_form: 0.2952 eV/atom
DOS at the Fermi energy: 10.74 states/eV/cell

a b c (Å): 3.4052 8.8695 12.0231
angles (deg): 111.64 98.14 90.00
Last column: nearest neighbours and their distance in Å.
Sites, in units of the cell vectors:
Ho1 0.0000 0.3028 0.0000  2 Tm 3.18, 7 Ho 3.27-3.50
Ho2 0.5983 0.5983 0.1967  1 Zr 2.88
Ho3 0.0000 0.6972 0.0000  2 Tm 3.18, 7 Ho 3.27-3.50
Ho4 0.4017 0.4017 0.8033  1 Zr 2.88
Tm1 0.8423 0.0512 0.6846  3 Zr 3.12-3.47, 2 Ho 3.36, 2 Tm 3.41
Tm2 0.8423 0.6334 0.6846  3 Zr 3.12-3.47, 2 Ho 3.36, 2 Tm 3.41
Tm3 0.1577 0.3666 0.3154  3 Zr 3.12-3.47, 2 Ho 3.36, 2 Tm 3.41
Tm4 0.1577 0.9488 0.3154  3 Zr 3.12-3.47, 2 Ho 3.36, 2 Tm 3.41
Tm5 0.5000 0.0000 0.0000  4 Ho 3.18, 2 Tm 3.41
Zr1 0.2713 0.2713 0.5426  1 Ho 2.88, 2 Tm 3.12
Zr2 0.7287 0.7287 0.4574  1 Ho 2.88, 2 Tm 3.12

This record from Alexandria via LeMat-Bulk describes crystalline Sm2HS at its relaxed geometry. The functional is GGA-PBE.

Output
Magnetic moment: 0.11 μB/atom
Volume: 20.15 Å³/atom
Uncorrected energy: -5.36 eV per atom
Symmetry: R-3m (166)
Energy relative to the lowest polymorph listed for this composition: 0 meV/atom
DOS at the Fermi energy: 2.92 states/eV/cell

a b c (Å): 3.8589 3.8589 6.6364
angles (deg): 73.10 73.10 60.00
Last column: nearest neighbours and their distance in Å.
Sites, in units of the cell vectors:
H1 0.5000 0.5000 0.5000  6 Sm 2.68
S1 0.0000 0.0000 0.0000  6 Sm 2.76
Sm1 0.2464 0.2464 0.2607  3 H 2.68, 3 S 2.76
Sm2 0.7536 0.7536 0.7393  3 H 2.68, 3 S 2.76

This record from Alexandria via LeMat-Bulk describes crystalline Ca2YTlPd at its relaxed geometry. The functional is GGA-PBE.

Output
Magnetic moment: 0.00 μB/atom
Volume: 32.98 Å³/atom
Uncorrected energy: -3.89 eV per atom
Symmetry: P4/mmm (123)
E_form: -0.2848 eV/atom
DOS at the Fermi energy: 4.25 states/eV/cell

a b c (Å): 5.5172 5.5172 5.4172
angles (deg): 90.00 90.00 90.00
Last column: nearest neighbours and their distance in Å.
Sites, in units of the cell vectors:
Y1 0.0000 0.0000 0.5000  2 Pd 2.71
Tl1 0.5000 0.5000 0.5000  8 Ca 3.87, 4 Y 3.90
Ca1 0.0000 0.5000 0.0000  2 Pd 2.76
Ca2 0.5000 0.0000 0.0000  2 Pd 2.76
Pd1 0.0000 0.0000 0.0000  2 Y 2.71, 4 Ca 2.76

This record from Alexandria via LeMat-Bulk describes crystalline Rb2DyAlTe4 at its relaxed geometry. The functional is GGA-PBE.

Output
Magnetic moment: 0.00 μB/atom
Volume: 35.39 Å³/atom
Formation energy from raw total energies: -897.4 meV per atom
Uncorrected energy: -3.75 eV per atom
Symmetry: Imma (74)
DOS at the Fermi energy: 1.69 states/eV/cell

a b c (Å): 9.3031 9.3030 9.4702
angles (deg): 120.60 120.60 90.49
Last column: nearest neighbours and their distance in Å.
Sites, in units of the cell vectors:
Rb1 0.5000 0.0000 0.0000  6 Te 3.46-3.51
Rb2 0.5000 0.0000 0.5000  6 Te 3.46-3.51
Rb3 0.0000 0.0000 0.5000  6 Te 3.63-3.64
Rb4 0.5000 0.5000 0.0000  6 Te 3.63-3.64
Dy1 0.0000 0.5000 0.0000  6 Te 3.13-3.17
Dy2 0.0000 0.5000 0.5000  6 Te 3.13-3.17
Al1 0.5000 0.5000 0.5000  6 Te 2.95-3.00
Al2 0.0000 0.0000 0.0000  6 Te 2.95-3.00
Te1 0.1994 0.7472 0.9733  1 Al 3.00, 2 Dy 3.13
Te2 0.7528 0.3006 0.5267  1 Al 3.00, 2 Dy 3.13
Te3 0.2472 0.6994 0.4733  1 Al 3.00, 2 Dy 3.13
Te4 0.8006 0.2528 0.0267  1 Al 3.00, 2 Dy 3.13
Te5 0.7629 0.7368 0.9490  2 Al 2.95, 1 Dy 3.17
Te6 0.7632 0.7371 0.5510  2 Al 2.95, 1 Dy 3.17
Te7 0.2368 0.2629 0.4490  2 Al 2.95, 1 Dy 3.17
Te8 0.2371 0.2632 0.0510  2 Al 2.95, 1 Dy 3.17

This record from Alexandria via LeMat-Bulk describes crystalline Pu2MgPt at its relaxed geometry. The functional is GGA-PBE.

Output
Magnetic moment: 2.88 μB/atom
Volume: 23.37 Å³/atom
Uncorrected energy: -9.37 eV per atom
Symmetry: P4/mmm (123)
E_form: -0.2905 eV/atom
DOS at the Fermi energy: 15.14 states/eV/cell

a b c (Å): 3.8420 3.8420 6.3330
angles (deg): 90.00 90.00 90.00
Last column: nearest neighbours and their distance in Å.
Sites, in units of the cell vectors:
Mg1 0.5000 0.5000 0.5000  2 Pt 3.17, 8 Pu 3.23
Pt1 0.5000 0.5000 0.0000  8 Pu 3.06, 2 Mg 3.17
Pu1 0.0000 0.0000 0.7761  1 Pu 2.84, 4 Pt 3.06
Pu2 0.0000 0.0000 0.2239  1 Pu 2.84, 4 Pt 3.06

This record from Alexandria via LeMat-Bulk describes crystalline CrPt3Rh12 at its relaxed geometry. The functional is GGA-PBE.

Output
Magnetic moment: 0.03 μB/atom
Volume: 14.32 Å³/atom
Uncorrected energy: -7.30 eV per atom
Symmetry: P4/mmm (123)
E_form: -0.0532 eV/atom
DOS at the Fermi energy: 20.86 states/eV/cell

a b c (Å): 3.8514 3.8514 15.4421
angles (deg): 90.00 90.00 90.00
Last column: nearest neighbours and their distance in Å.
Sites, in units of the cell vectors:
Cr1 0.0000 0.0000 0.0000  12 Rh 2.66-2.72
Pt1 0.0000 0.0000 0.2490  12 Rh 2.72-2.78
Pt2 0.0000 0.0000 0.5000  12 Rh 2.72-2.74
Pt3 0.0000 0.0000 0.7510  12 Rh 2.72-2.78
Rh1 0.5000 0.5000 0.0000  8 Rh 2.66, 4 Cr 2.72
Rh2 0.5000 0.5000 0.2468  4 Pt 2.72, 8 Rh 2.75
Rh3 0.5000 0.5000 0.5000  4 Pt 2.72, 8 Rh 2.74
Rh4 0.5000 0.5000 0.7532  4 Pt 2.72, 8 Rh 2.75
Rh5 0.5000 0.0000 0.1193  2 Cr 2.66, 8 Rh 2.66-2.75, 2 Pt 2.78
Rh6 0.5000 0.0000 0.3742  8 Rh 2.72-2.75, 4 Pt 2.73-2.74
Rh7 0.5000 0.0000 0.6258  8 Rh 2.72-2.75, 4 Pt 2.73-2.74
Rh8 0.5000 0.0000 0.8807  2 Cr 2.66, 8 Rh 2.66-2.75, 2 Pt 2.78
Rh9 0.0000 0.5000 0.1193  2 Cr 2.66, 8 Rh 2.66-2.75, 2 Pt 2.78
Rh10 0.0000 0.5000 0.3742  8 Rh 2.72-2.75, 4 Pt 2.73-2.74
Rh11 0.0000 0.5000 0.6258  8 Rh 2.72-2.75, 4 Pt 2.73-2.74
Rh12 0.0000 0.5000 0.8807  2 Cr 2.66, 8 Rh 2.66-2.75, 2 Pt 2.78

This record from Alexandria via LeMat-Bulk describes crystalline MoPSN2 at its relaxed geometry. The functional is GGA-PBE.

Output
Magnetic moment: 0.48 μB/atom
Volume: 11.56 Å³/atom
Formation energy from raw total energies: 1035.4 meV per atom
Uncorrected energy: -6.37 eV per atom
Symmetry: P4/mmm (123)
Energy relative to the lowest polymorph listed for this composition: 228 meV/atom
DOS at the Fermi energy: 2.99 states/eV/cell

a b c (Å): 3.5384 3.5384 4.6170
angles (deg): 90.00 90.00 90.00
Last column: nearest neighbours and their distance in Å.
Sites, in units of the cell vectors:
P1 0.0000 0.0000 0.0000  4 N 1.77
Mo1 0.5000 0.5000 0.5000  4 S 2.50
S1 0.0000 0.0000 0.5000  2 P 2.31, 4 Mo 2.50
N1 0.0000 0.5000 0.0000  2 P 1.77
N2 0.5000 0.0000 0.0000  2 P 1.77

This record from Alexandria via LeMat-Bulk describes crystalline CaNbTc2 at its relaxed geometry. The functional is GGA-PBE.

Output
Magnetic moment: 0.00 μB/atom
Volume: 17.58 Å³/atom
Uncorrected energy: -7.81 eV per atom
Symmetry: Fm-3m (225)
Energy relative to the lowest polymorph listed for this composition: 0 meV/atom
E_form: 0.3943 eV/atom
DOS at the Fermi energy: 4.52 states/eV/cell

a b c (Å): 4.6330 4.6330 4.6330
angles (deg): 60.00 60.00 60.00
Last column: nearest neighbours and their distance in Å.
Sites, in units of the cell vectors:
Nb1 0.5000 0.5000 0.5000  8 Tc 2.84
Ca1 0.0000 0.0000 0.0000  8 Tc 2.84
Tc1 0.2500 0.2500 0.2500  4 Nb 2.84, 4 Ca 2.84
Tc2 0.7500 0.7500 0.7500  4 Nb 2.84, 4 Ca 2.84

This record from Alexandria via LeMat-Bulk describes crystalline TbNd2In4 at its relaxed geometry. The functional is GGA-PBE.

Output
Magnetic moment: 0.19 μB/atom
Volume: 37.06 Å³/atom
Uncorrected energy: -3.45 eV per atom
Symmetry: I4/mmm (139)
Energy relative to the lowest polymorph listed for this composition: 458 meV/atom
E_form: 0.1340 eV/atom
DOS at the Fermi energy: 10.87 states/eV/cell

a b c (Å): 5.6826 5.6826 8.9825
angles (deg): 108.44 108.44 90.00
Last column: nearest neighbours and their distance in Å.
Sites, in units of the cell vectors:
Tb1 0.0000 0.0000 0.0000  6 In 2.84-3.04
Nd1 0.6088 0.6088 0.2177  5 In 3.24-3.34, 1 Nd 3.50
Nd2 0.3912 0.3912 0.7823  5 In 3.24-3.34, 1 Nd 3.50
In1 0.8107 0.8107 0.6214  1 Tb 3.04, 1 Nd 3.24
In2 0.1893 0.1893 0.3786  1 Tb 3.04, 1 Nd 3.24
In3 0.0000 0.5000 0.0000  2 Tb 2.84
In4 0.5000 0.0000 0.0000  2 Tb 2.84

Look up the magnetic moment of the sixth one.
0.00 μB/atom

The highest magnetic moment belongs to which entry?
Pu2MgPt